The following is a DFT calculation (PBE) of crystalline InSCl2O at its relaxed geometry.

Cell: 5.1043 5.1043 5.3299 Å, 90.00 90.00 90.00°
Last column: nearest neighbours and their distance in Å.
Fractional coordinates of all 5 atoms:
In (0.0000, 0.0000, 0.0000)  4 Cl 2.55, 2 S 2.66
S (0.0000, 0.0000, 0.5000)  2 In 2.66
Cl (0.0000, 0.5000, 0.0000)  2 In 2.55
Cl (0.5000, 0.0000, 0.0000)  2 In 2.55
O (0.5000, 0.5000, 0.5000)  4 S 3.61, 8 Cl 3.69

Results
SG: No. 123
ΔE_f (raw): 0.44 eV/atom



The following is a DFT calculation (PBE) of crystalline GaAs2F at its relaxed geometry.

Cell: 10.6737 10.6737 10.6737 Å, 159.53 159.53 29.10°
Last column: nearest neighbours and their distance in Å.
Fractional coordinates of all 8 atoms:
Ga (0.0000, 0.0000, 0.0000)  4 F 2.68, 4 As 2.96
Ga (0.7500, 0.2500, 0.5000)  4 F 2.68, 4 As 2.96
As (0.1612, 0.6250, 0.0362)  2 As 2.49
As (0.3750, 0.4112, 0.5362)  2 As 2.49
As (0.5888, 0.1250, 0.9638)  2 As 2.49
As (0.8750, 0.8388, 0.4638)  2 As 2.49
F (0.2500, 0.7500, 0.5000)  4 Ga 2.68, 4 As 2.87
F (0.5000, 0.5000, 0.0000)  4 Ga 2.68, 4 As 2.87

Results
SG: No. 122
ΔE_f (raw): -0.45 eV/atom



The following is a DFT calculation (PBE) of crystalline KSiHgAu2 at its relaxed geometry.

Cell: 4.9816 4.9816 5.2142 Å, 90.00 90.00 90.00°
Last column: nearest neighbours and their distance in Å.
Fractional coordinates of all 5 atoms:
K (0.0000, 0.0000, 0.0000)  4 Hg 3.52, 8 Au 3.61
Si (0.5000, 0.5000, 0.5000)  4 Au 2.49, 2 Hg 2.61
Hg (0.5000, 0.5000, 0.0000)  2 Si 2.61
Au (0.0000, 0.5000, 0.5000)  2 Si 2.49
Au (0.5000, 0.0000, 0.5000)  2 Si 2.49

Results
SG: No. 123
ΔE_f (raw): -0.14 eV/atom



The following is a DFT calculation (PBE) of crystalline Tb4HoPu3Se8 at its relaxed geometry.

Cell: 8.2342 8.2342 8.2342 Å, 59.66 59.66 59.66°
Last column: nearest neighbours and their distance in Å.
Fractional coordinates of all 16 atoms:
Tb (0.0000, 0.0000, 0.0000)  6 Se 2.92
Tb (0.0000, 0.5000, 0.5000)  6 Se 2.89
Tb (0.5000, 0.0000, 0.5000)  6 Se 2.89
Tb (0.5000, 0.5000, 0.0000)  6 Se 2.89
Ho (0.5000, 0.5000, 0.5000)  6 Se 2.89
Pu (0.0000, 0.0000, 0.5000)  6 Se 2.92
Pu (0.0000, 0.5000, 0.0000)  6 Se 2.92
Pu (0.5000, 0.0000, 0.0000)  6 Se 2.92
Se (0.2510, 0.2510, 0.2510)  3 Tb 2.89, 3 Pu 2.92
Se (0.2511, 0.2511, 0.7465)  3 Tb 2.89-2.92, 1 Ho 2.89, 2 Pu 2.92
Se (0.2511, 0.7465, 0.2511)  3 Tb 2.89-2.92, 1 Ho 2.89, 2 Pu 2.92
Se (0.2535, 0.7489, 0.7489)  3 Tb 2.89-2.92, 1 Ho 2.89, 2 Pu 2.92
Se (0.7465, 0.2511, 0.2511)  3 Tb 2.89-2.92, 1 Ho 2.89, 2 Pu 2.92
Se (0.7489, 0.2535, 0.7489)  3 Tb 2.89-2.92, 1 Ho 2.89, 2 Pu 2.92
Se (0.7489, 0.7489, 0.2535)  3 Tb 2.89-2.92, 1 Ho 2.89, 2 Pu 2.92
Se (0.7490, 0.7490, 0.7490)  3 Tb 2.89, 3 Pu 2.92

Results
SG: No. 166
ΔE_f (raw): -1.70 eV/atom



The following is a DFT calculation (PBE) of crystalline CsAcCo2Cl8 at its relaxed geometry.

Cell: 10.8298 10.8298 10.8298 Å, 35.97 35.97 35.97°
Last column: nearest neighbours and their distance in Å.
Fractional coordinates of all 12 atoms:
Cs (0.0000, 0.0000, 0.0000)  12 Cl 3.88-4.00
Ac (0.5000, 0.5000, 0.5000)  6 Cl 2.91
Co (0.2494, 0.2494, 0.2494)  4 Cl 2.19-2.29
Co (0.7506, 0.7506, 0.7506)  4 Cl 2.19-2.29
Cl (0.0901, 0.7909, 0.4487)  1 Co 2.29
Cl (0.2091, 0.5513, 0.9099)  1 Co 2.29
Cl (0.3214, 0.3214, 0.3214)  1 Co 2.19
Cl (0.4487, 0.0901, 0.7909)  1 Co 2.29
Cl (0.5513, 0.9099, 0.2091)  1 Co 2.29
Cl (0.6786, 0.6786, 0.6786)  1 Co 2.19
Cl (0.7909, 0.4487, 0.0901)  1 Co 2.29
Cl (0.9099, 0.2091, 0.5513)  1 Co 2.29

Results
SG: No. 148
ΔE_f (raw): -1.41 eV/atom



The following is a DFT calculation (PBE) of crystalline Tb8Dy3Pu at its relaxed geometry.

Cell: 8.3324 8.3324 8.3324 Å, 117.74 117.74 93.96°
Last column: nearest neighbours and their distance in Å.
Fractional coordinates of all 12 atoms:
Tb (0.1072, 0.1072, 0.7476)  1 Pu 3.07, 3 Tb 3.07-3.26, 3 Dy 3.40
Tb (0.2012, 0.2012, 0.4635)  1 Pu 2.84
Tb (0.2623, 0.7988, 0.0000)  1 Pu 2.84
Tb (0.3595, 0.3595, 0.2524)  1 Pu 3.07, 3 Tb 3.07-3.26, 3 Dy 3.40
Tb (0.6405, 0.8928, 0.0000)  1 Pu 3.07, 3 Tb 3.07-3.26, 3 Dy 3.40
Tb (0.7377, 0.7377, 0.5365)  1 Pu 2.84
Tb (0.7988, 0.2623, 0.0000)  1 Pu 2.84
Tb (0.8928, 0.6405, 0.0000)  1 Pu 3.07, 3 Tb 3.07-3.26, 3 Dy 3.40
Dy (0.2500, 0.7500, 0.5000)  4 Tb 3.40
Dy (0.5000, 0.5000, 0.0000)  8 Tb 3.29-3.40
Dy (0.7500, 0.2500, 0.5000)  4 Tb 3.40
Pu (0.0000, 0.0000, 0.0000)  8 Tb 2.84-3.07

Results
Energy relative to the elements: 584 meV/atom
SG: No. 121



The following is a DFT calculation (PBE) of crystalline KAsPb2I8 at its relaxed geometry.

Cell: 7.2937 7.6337 9.6172 Å, 89.98 89.94 88.64°
Last column: nearest neighbours and their distance in Å.
Fractional coordinates of all 12 atoms:
K (0.0000, 0.0000, 0.0000)  6 I 3.44-3.45
As (0.0000, 0.0000, 0.5000)  6 I 2.89-2.95
Pb (0.4998, 0.5001, 0.2572)  6 I 3.18-3.40
Pb (0.5002, 0.4999, 0.7428)  6 I 3.18-3.40
I (0.2244, 0.3163, 0.5003)  1 As 2.95
I (0.2365, 0.8492, 0.7120)  1 As 2.89
I (0.2373, 0.8502, 0.2876)  1 As 2.89
I (0.2707, 0.3623, 0.0002)  2 Pb 3.18, 1 K 3.44
I (0.7293, 0.6377, 0.9998)  2 Pb 3.18, 1 K 3.44
I (0.7627, 0.1498, 0.7124)  1 As 2.89
I (0.7635, 0.1508, 0.2880)  1 As 2.89
I (0.7756, 0.6837, 0.4997)  1 As 2.95

Results
SG: No. 2
ΔE_f (raw): -0.56 eV/atom



The following is a DFT calculation (PBE) of crystalline LiCeMgTc at its relaxed geometry.

Cell: 4.7596 4.7596 4.7596 Å, 60.00 60.00 60.00°
Last column: nearest neighbours and their distance in Å.
Fractional coordinates of all 4 atoms:
Li (0.0000, 0.0000, 0.0000)  4 Ce 2.91, 4 Mg 2.91
Ce (0.7500, 0.7500, 0.7500)  4 Li 2.91, 4 Tc 2.91
Mg (0.2500, 0.2500, 0.2500)  4 Tc 2.91, 4 Li 2.91
Tc (0.5000, 0.5000, 0.5000)  4 Ce 2.91, 4 Mg 2.91

Results
Energy relative to the elements: 118 meV/atom
SG: No. 216



Number 1: final energy -13.298 eV per cell, theoretical density 2796 kg/m3. Number 2: final energy -31.987 eV per cell, theoretical density 5332 kg/m3. Number 3: final energy -14.076 eV per cell, theoretical density 8492 kg/m3. Number 4: final energy -121.205 eV per cell, theoretical density 9174 kg/m3. Number 5: final energy -50.900 eV per cell, theoretical density 3226 kg/m3. Number 6: final energy -58.169 eV per cell, theoretical density 7882 kg/m3. Number 7: final energy -32.332 eV per cell, theoretical density 4788 kg/m3. Number 8: final energy -19.335 eV per cell, theoretical density 5866 kg/m3.